Crystalline CrFe2W at its relaxed geometry, computed with PBE-GGA.

Calculated values
E_form = 0.51 eV/f.u.
Fermi-level density of states = 3.0 states/eV/f.u.

a = 2.5542 Å, b = 4.1337 Å, c = 4.9010 Å
α = 90.00°, β = 99.28°, γ = 90.00°
With the nearest neighbours (Å) after each atom.
Space group Pm (No. 6)
Inequivalent atoms, fractional coordinates:
1 Cr 0.0000 0.0000 0.0000 x1  4 Fe 2.46-2.69, 2 Cr 2.55, 2 W 2.57
2 Fe 0.5028 0.0000 0.4736 x1  2 Cr 2.46-2.69, 4 Fe 2.50-2.55, 2 W 2.57
3 Fe 0.7397 0.5000 0.2338 x1  4 Fe 2.50-2.55, 2 Cr 2.50, 2 W 2.56-2.59
4 W 0.2378 0.5000 0.7315 x1  2 W 2.55, 4 Fe 2.56-2.59, 2 Cr 2.57

Crystalline CrFeW2 at its relaxed geometry, computed with PBE-GGA.

Calculated values
E_form = 0.66 eV/f.u.
Fermi-level density of states = 3.3 states/eV/f.u.

a = 2.6416 Å, b = 4.2194 Å, c = 5.1235 Å
α = 90.00°, β = 99.78°, γ = 90.00°
With the nearest neighbours (Å) after each atom.
Space group P2/m (No. 10)
Inequivalent atoms, fractional coordinates:
1 Cr 0.0000 0.0000 0.0000 x1  4 W 2.60, 2 Cr 2.64, 2 Fe 2.68
2 Fe 0.5000 0.0000 0.5000 x1  4 W 2.62, 2 Fe 2.64, 2 Cr 2.68
3 W 0.2456 0.5000 0.7514 x2  2 Cr 2.60, 2 Fe 2.62, 4 W 2.64-2.68

Number 1: energy relative to the lowest polymorph listed for this composition 2.0 kJ per mole of atoms. Number 2: energy relative to the lowest polymorph listed for this composition 5.1 kJ per mole of atoms.